(1)
# PBE-GGA HF, relaxed
data_HF
_chemical_formula_sum 'H4 F4'
_space_group_name_H-M_alt 'C m c 21'
_space_group_IT_number 36
_space_group_name_Hall 'C 2c -2'
_cell_length_a 4.7976
_cell_length_b 4.0576
_cell_length_c 4.0064
_cell_angle_alpha 90.00
_cell_angle_beta 90.00
_cell_angle_gamma 90.00
loop_
_atom_site_label
_atom_site_type_symbol
_atom_site_fract_x
_atom_site_fract_y
_atom_site_fract_z
H1 H 0.0000 0.0255 0.0000
F1 F 0.0000 0.1590 0.7854
# energy above the most stable polymorph in this dataset	0	meV per atom
# Fermi-level density of states	0.000	states/eV/f.u.
# spin magnetization	0.00	μB per cell
# total energy	-33.67	eV/cell

(2)
# PBE-GGA BaMnRh2, relaxed
data_BaMnRh2
_chemical_formula_sum 'Ba1 Mn1 Rh2'
_space_group_name_H-M_alt 'P 1 m 1'
_space_group_IT_number 6
_space_group_name_Hall 'P -2y'
_cell_length_a 3.2563
_cell_length_b 4.2170
_cell_length_c 6.4462
_cell_angle_alpha 90.00
_cell_angle_beta 102.02
_cell_angle_gamma 90.00
loop_
_atom_site_label
_atom_site_type_symbol
_atom_site_fract_x
_atom_site_fract_y
_atom_site_fract_z
Ba1 Ba 0.0000 0.0000 0.0000
Mn1 Mn 0.7778 0.5000 0.4241
Rh1 Rh 0.3165 0.0000 0.4816
Rh2 Rh 0.4085 0.5000 0.7409
# formation energy	0.244	eV per atom
# Fermi-level density of states	4.291	states/eV/f.u.
# spin magnetization	4.44	μB per cell
# total energy	-24.82	eV/cell

(3)
# PBE-GGA Ac2Sm5Tm, relaxed
data_Ac2Sm5Tm
_chemical_formula_sum 'Ac4 Sm10 Tm2'
_space_group_name_H-M_alt 'I 4/m m m'
_space_group_IT_number 139
_space_group_name_Hall '-I 4 2'
_cell_length_a 5.2658
_cell_length_b 5.2658
_cell_length_c 20.6963
_cell_angle_alpha 90.00
_cell_angle_beta 90.00
_cell_angle_gamma 90.00
loop_
_atom_site_label
_atom_site_type_symbol
_atom_site_fract_x
_atom_site_fract_y
_atom_site_fract_z
Ac1 Ac 0.0000 0.0000 0.2504
Sm1 Sm 0.0000 0.0000 0.0000
Sm2 Sm 0.0000 0.5000 0.1181
Tm1 Tm 0.0000 0.0000 0.5000
# formation energy	0.045	eV per atom
# Fermi-level density of states	13.495	states/eV/f.u.
# spin magnetization	0.00	μB per cell
# total energy	-71.86	eV/cell

(4)
# PBE-GGA Pr4SnAu, relaxed
data_Pr4SnAu
_chemical_formula_sum 'Pr8 Sn2 Au2'
_space_group_name_H-M_alt 'P 1 21/m 1'
_space_group_IT_number 11
_space_group_name_Hall '-P 2yb'
_cell_length_a 5.6053
_cell_length_b 7.1688
_cell_length_c 9.2185
_cell_angle_alpha 90.00
_cell_angle_beta 98.22
_cell_angle_gamma 90.00
loop_
_atom_site_label
_atom_site_type_symbol
_atom_site_fract_x
_atom_site_fract_y
_atom_site_fract_z
Pr1 Pr 0.1753 0.2500 0.0554
Pr2 Pr 0.2154 0.7500 0.3718
Pr3 Pr 0.3077 0.5216 0.7251
Sn1 Sn 0.2294 0.2500 0.4143
Au1 Au 0.3437 0.7500 0.0543
# formation energy	-0.517	eV per atom
# energy above the most stable polymorph in this dataset	0	meV per atom
# Fermi-level density of states	6.596	states/eV/f.u.
# spin magnetization	0.00	μB per cell
# total energy	-59.00	eV/cell